The following is a PBE-GGA calculation of crystalline Pm4SiBi2 at its relaxed geometry, from Alexandria via LeMat-Bulk.

Cell and atoms, written as CIF:
```
data_Pm4SiBi2
_chemical_formula_sum 'Pm8 Si2 Bi4'
_space_group_name_H-M_alt 'P 1 21/m 1'
_space_group_IT_number 11
_space_group_name_Hall '-P 2yb'
_cell_length_a 6.963
_cell_length_b 6.598
_cell_length_c 10.040
_cell_angle_alpha 90.00
_cell_angle_beta 109.56
_cell_angle_gamma 90.00
loop_
_atom_site_label
_atom_site_fract_x
_atom_site_fract_y
_atom_site_fract_z
Pm1 0.013 0.001 0.259
Pm2 0.399 0.750 0.066
Pm3 0.450 0.750 0.640
Si1 0.363 0.750 0.340
Bi1 0.203 0.250 0.042
Bi2 0.217 0.250 0.559
```

## Properties
- Crystal system: monoclinic
- V: 31.0 A^3/atom
- ΔE_f (raw): -54.84 kJ per mole of atoms

The following is a PBE-GGA calculation of crystalline Pm2SiBi at its relaxed geometry, from Alexandria via LeMat-Bulk.

Cell and atoms, written as CIF:
```
data_Pm2SiBi
_chemical_formula_sum 'Pm8 Si4 Bi4'
_space_group_name_H-M_alt 'F m -3 m'
_space_group_IT_number 225
_space_group_name_Hall '-F 4 2 3'
_cell_length_a 7.629
_cell_length_b 7.629
_cell_length_c 7.629
_cell_angle_alpha 90.00
_cell_angle_beta 90.00
_cell_angle_gamma 90.00
loop_
_atom_site_label
_atom_site_fract_x
_atom_site_fract_y
_atom_site_fract_z
Pm1 0.250 0.250 0.250
Si1 0.000 0.000 0.000
Bi1 0.000 0.000 0.500
```

## Properties
- Crystal system: cubic
- V: 27.8 A^3/atom
- ΔE_f (raw): -41.06 kJ per mole of atoms

The following is a PBE-GGA calculation of crystalline Pm2SiBi at its relaxed geometry, from Alexandria via LeMat-Bulk.

Cell and atoms, written as CIF:
```
data_Pm2SiBi
_chemical_formula_sum 'Pm2 Si1 Bi1'
_space_group_name_H-M_alt 'P 4/m m m'
_space_group_IT_number 123
_space_group_name_Hall '-P 4 2'
_cell_length_a 4.982
_cell_length_b 4.982
_cell_length_c 4.328
_cell_angle_alpha 90.00
_cell_angle_beta 90.00
_cell_angle_gamma 90.00
loop_
_atom_site_label
_atom_site_fract_x
_atom_site_fract_y
_atom_site_fract_z
Pm1 0.000 0.500 0.000
Si1 0.000 0.000 0.500
Bi1 0.500 0.500 0.500
```

## Properties
- Crystal system: tetragonal
- V: 26.9 A^3/atom
- ΔE_f (raw): -46.13 kJ per mole of atoms